## TcMo2Os (GGA-PBE)

Data for a relaxed TcMo2Os crystal.

The space group is Pmmm (No. 47) and the conventional cell measures 2.793, 3.902 and 5.578 Å, with angles of 90.00, 90.00 and 90.00 degrees. The asymmetric unit holds Tc at (0.000, 0.000, 0.000), Mo at (0.500, 0.500, 0.251) and Os at (0.000, 0.000, 0.500).

The crystal system is orthorhombic. As for the energy above the most stable polymorph in this dataset: 9.3 meV/atom. As for the formation energy: 0.46 eV per formula unit. For the energy, the calculation gives -42.8 eV per cell.